[1]
The following is a DFT calculation (PBE) of crystalline DyHoNiOs at its relaxed geometry.

ρ: 12319 kg/m3
Crystal system: cubic
Symmetry: F-43m, No. 216
D(E_F): 7.23 states/eV/cell
Formation energy: -0.31 eV/atom

Geometry as extended XYZ:
```
16
Lattice="6.773 0.000 0.000 0.000 6.773 0.000 0.000 0.000 6.773" Properties=species:S:1:pos:R:3 pbc="T T T"
Dy 0.000 0.000 0.000
Dy 0.000 3.387 3.387
Dy 3.387 0.000 3.387
Dy 3.387 3.387 0.000
Ho 0.000 0.000 3.387
Ho 0.000 3.387 0.000
Ho 3.387 0.000 0.000
Ho 3.387 3.387 3.387
Ni 1.693 1.693 5.080
Ni 1.693 5.080 1.693
Ni 5.080 1.693 1.693
Ni 5.080 5.080 5.080
Os 1.693 1.693 1.693
Os 1.693 5.080 5.080
Os 5.080 1.693 5.080
Os 5.080 5.080 1.693
```

[2]
The following is a DFT calculation (PBE) of crystalline DyHoNi2P2 at its relaxed geometry.

ρ: 8323 kg/m3
Crystal system: trigonal
Symmetry: P-3m1, No. 164
D(E_F): 2.77 states/eV/cell
Formation energy: -1.22 eV/atom

Geometry as extended XYZ:
```
6
Lattice="3.880 0.000 0.000 -1.940 3.360 0.000 0.000 0.000 7.755" Properties=species:S:1:pos:R:3 pbc="T T T"
Dy 0.000 0.000 0.000
Ho 0.000 0.000 3.878
Ni 0.000 2.240 5.809
Ni 1.940 1.120 1.946
P 0.000 2.240 1.947
P 1.940 1.120 5.808
```

[3]
The following is a DFT calculation (PBE) of crystalline DyHoNiRu at its relaxed geometry.

ΔE to the lowest computed polymorph: 0 meV/atom
ρ: 10433 kg/m3
Crystal system: tetragonal
Symmetry: P4mm, No. 99
D(E_F): 1.96 states/eV/cell
Formation energy: -0.42 eV/atom

Geometry as extended XYZ:
```
4
Lattice="3.392 0.000 0.000 0.000 3.392 0.000 0.000 0.000 6.741" Properties=species:S:1:pos:R:3 pbc="T T T"
Dy 0.000 0.000 0.000
Ho 0.000 0.000 3.351
Ni 1.696 1.696 5.034
Ru 1.696 1.696 1.684
```

[4]
The following is a DFT calculation (PBE) of crystalline DyHoNiRu at its relaxed geometry.

ΔE to the lowest computed polymorph: 18 meV/atom
ρ: 10453 kg/m3
Crystal system: cubic
Symmetry: F-43m, No. 216
D(E_F): 10.28 states/eV/cell
Formation energy: -0.41 eV/atom

Geometry as extended XYZ:
```
16
Lattice="6.765 0.000 0.000 0.000 6.765 0.000 0.000 0.000 6.765" Properties=species:S:1:pos:R:3 pbc="T T T"
Dy 0.000 0.000 0.000
Dy 0.000 3.382 3.382
Dy 3.382 0.000 3.382
Dy 3.382 3.382 0.000
Ho 0.000 0.000 3.382
Ho 0.000 3.382 0.000
Ho 3.382 0.000 0.000
Ho 3.382 3.382 3.382
Ni 1.691 1.691 1.691
Ni 1.691 5.074 5.074
Ni 5.074 1.691 5.074
Ni 5.074 5.074 1.691
Ru 1.691 1.691 5.074
Ru 1.691 5.074 1.691
Ru 5.074 1.691 1.691
Ru 5.074 5.074 5.074
```

[5]
The following is a DFT calculation (PBE) of crystalline DyHoScNi at its relaxed geometry.

ρ: 7759 kg/m3
Crystal system: cubic
Symmetry: F-43m, No. 216
D(E_F): 19.77 states/eV/cell
Formation energy: 0.09 eV/atom

Geometry as extended XYZ:
```
16
Lattice="7.173 0.000 0.000 0.000 7.173 0.000 0.000 0.000 7.173" Properties=species:S:1:pos:R:3 pbc="T T T"
Dy 0.000 0.000 0.000
Dy 0.000 3.586 3.586
Dy 3.586 0.000 3.586
Dy 3.586 3.586 0.000
Ho 0.000 0.000 3.586
Ho 0.000 3.586 0.000
Ho 3.586 0.000 0.000
Ho 3.586 3.586 3.586
Sc 1.793 1.793 5.380
Sc 1.793 5.380 1.793
Sc 5.380 1.793 1.793
Sc 5.380 5.380 5.380
Ni 1.793 1.793 1.793
Ni 1.793 5.380 5.380
Ni 5.380 1.793 5.380
Ni 5.380 5.380 1.793
```

[6]
The following is a DFT calculation (PBE) of crystalline DyHoSiNi at its relaxed geometry.

ΔE to the lowest computed polymorph: 163 meV/atom
ρ: 8404 kg/m3
Formation energy (no corrections): -0.481 eV per atom
Crystal system: cubic
Symmetry: F-43m, No. 216
D(E_F): 6.08 states/eV/cell

Geometry as extended XYZ:
```
16
Lattice="6.892 0.000 0.000 0.000 6.892 0.000 0.000 0.000 6.892" Properties=species:S:1:pos:R:3 pbc="T T T"
Dy 0.000 0.000 0.000
Dy 0.000 3.446 3.446
Dy 3.446 0.000 3.446
Dy 3.446 3.446 0.000
Ho 0.000 0.000 3.446
Ho 0.000 3.446 0.000
Ho 3.446 0.000 0.000
Ho 3.446 3.446 3.446
Si 1.723 1.723 5.169
Si 1.723 5.169 1.723
Si 5.169 1.723 1.723
Si 5.169 5.169 5.169
Ni 1.723 1.723 1.723
Ni 1.723 5.169 5.169
Ni 5.169 1.723 5.169
Ni 5.169 5.169 1.723
```

[7]
The following is a DFT calculation (PBE) of crystalline DyHoSiNi at its relaxed geometry.

ΔE to the lowest computed polymorph: 0 meV/atom
ρ: 8144 kg/m3
Formation energy (no corrections): -0.644 eV per atom
Crystal system: orthorhombic
Symmetry: Amm2, No. 38
D(E_F): 7.31 states/eV/cell

Geometry as extended XYZ:
```
8
Lattice="4.040 0.000 0.000 0.000 3.964 0.000 0.000 0.000 10.546" Properties=species:S:1:pos:R:3 pbc="T T T"
Dy 0.000 0.000 0.000
Dy 0.000 1.982 5.273
Ho 2.020 0.000 2.961
Ho 2.020 1.982 8.233
Si 0.000 0.000 7.482
Si 0.000 1.982 2.209
Ni 2.020 0.000 6.055
Ni 2.020 1.982 0.782
```

[8]
The following is a DFT calculation (PBE) of crystalline DyHoTcNi at its relaxed geometry.

ρ: 10327 kg/m3
Crystal system: cubic
Symmetry: F-43m, No. 216
D(E_F): 14.24 states/eV/cell
Formation energy: -0.13 eV/atom

Geometry as extended XYZ:
```
16
Lattice="6.778 0.000 0.000 0.000 6.778 0.000 0.000 0.000 6.778" Properties=species:S:1:pos:R:3 pbc="T T T"
Dy 0.000 0.000 0.000
Dy 0.000 3.389 3.389
Dy 3.389 0.000 3.389
Dy 3.389 3.389 0.000
Ho 0.000 0.000 3.389
Ho 0.000 3.389 0.000
Ho 3.389 0.000 0.000
Ho 3.389 3.389 3.389
Tc 1.695 1.695 1.695
Tc 1.695 5.084 5.084
Tc 5.084 1.695 5.084
Tc 5.084 5.084 1.695
Ni 1.695 1.695 5.084
Ni 1.695 5.084 1.695
Ni 5.084 1.695 1.695
Ni 5.084 5.084 5.084
```

[9]
The following is a DFT calculation (PBE) of crystalline DyHoTlNi at its relaxed geometry.

ρ: 10443 kg/m3
Crystal system: cubic
Symmetry: F-43m, No. 216
D(E_F): 16.50 states/eV/cell
Formation energy: -0.25 eV/atom

Geometry as extended XYZ:
```
16
Lattice="7.215 0.000 0.000 0.000 7.215 0.000 0.000 0.000 7.215" Properties=species:S:1:pos:R:3 pbc="T T T"
Dy 0.000 0.000 0.000
Dy 0.000 3.608 3.608
Dy 3.608 0.000 3.608
Dy 3.608 3.608 0.000
Ho 0.000 0.000 3.608
Ho 0.000 3.608 0.000
Ho 3.608 0.000 0.000
Ho 3.608 3.608 3.608
Tl 1.804 1.804 1.804
Tl 1.804 5.411 5.411
Tl 5.411 1.804 5.411
Tl 5.411 5.411 1.804
Ni 1.804 1.804 5.411
Ni 1.804 5.411 1.804
Ni 5.411 1.804 1.804
Ni 5.411 5.411 5.411
```

[10]
The following is a DFT calculation (PBE) of crystalline DyHoNpO6 at its relaxed geometry.

ρ: 8230 kg/m3
Formation energy (no corrections): -3.214 eV per atom
Crystal system: trigonal
Symmetry: P-31c, No. 163

Geometry as extended XYZ:
```
18
Lattice="5.716 0.000 0.000 -2.858 4.950 0.000 0.000 0.000 9.418" Properties=species:S:1:pos:R:3 pbc="T T T"
Dy 0.000 0.000 0.000
Dy 0.000 0.000 4.709
Ho 0.000 3.300 2.354
Ho 2.858 1.650 7.063
Np 0.000 3.300 7.063
Np 2.858 1.650 2.354
O -0.879 1.764 5.967
O -1.771 3.307 8.159
O 0.879 1.764 8.159
O -0.891 4.830 5.967
O 1.967 0.120 1.258
O 1.088 1.643 3.451
O 1.771 3.307 5.967
O 0.891 4.830 8.159
O 3.749 0.120 3.451
O 1.979 3.187 1.258
O 4.629 1.643 1.258
O 3.737 3.187 3.451
```

[11]
The following is a DFT calculation (PBE) of crystalline Dy2HoNpO8 at its relaxed geometry.

ρ: 7867 kg/m3
Formation energy (no corrections): -3.198 eV per atom
Crystal system: monoclinic
Symmetry: P2/m, No. 10

Geometry as extended XYZ:
```
12
Lattice="5.079 0.000 0.000 0.000 6.985 0.000 -0.091 0.000 5.087" Properties=species:S:1:pos:R:3 pbc="T T T"
Dy 0.000 1.677 0.000
Dy 0.000 5.308 0.000
Ho 2.494 0.000 2.543
Np 2.494 3.492 2.543
O 0.959 0.000 0.984
O 1.084 3.492 1.114
O 1.553 1.926 3.475
O 1.553 5.058 3.475
O 3.435 1.926 1.611
O 3.435 5.058 1.611
O 3.904 3.492 3.973
O 4.029 0.000 4.103
```

[12]
The following is a DFT calculation (PBE) of crystalline DyHo2NpO8 at its relaxed geometry.

ρ: 7924 kg/m3
Formation energy (no corrections): -3.202 eV per atom
Crystal system: orthorhombic
Symmetry: Cmmm, No. 65

Geometry as extended XYZ:
```
12
Lattice="3.563 -3.614 0.000 3.563 3.614 0.000 0.000 0.000 6.977" Properties=species:S:1:pos:R:3 pbc="T T T"
Dy 0.000 0.000 0.000
Ho 3.563 0.000 1.671
Ho 3.563 0.000 5.306
Np 0.000 0.000 3.489
O 3.563 2.284 1.930
O 3.563 2.284 5.047
O 2.010 0.000 3.489
O 2.200 0.000 0.000
O 4.925 0.000 0.000
O 5.116 0.000 3.489
O 3.563 -2.284 1.930
O 3.563 -2.284 5.047
```